1.
CdGa2ICl: optimized geometry, PBE.

Computed properties:
For the uncorrected formation energy, the calculation gives -6.1 kJ/mol of formula units.

abc: 5.629 5.629 5.830
angles: 90.00 90.00 90.00
Element x y z (fractional)
1 Cd 0.000 0.000 0.000
2 Ga 0.000 0.500 0.500
3 Ga 0.500 0.000 0.500
4 I 0.500 0.500 0.000
5 Cl 0.000 0.000 0.500



2.
PPt: optimized geometry, PBE.

Computed properties:
The energy of formation comes out at -0.233 eV per atom.

abc: 6.291 6.291 6.291
angles: 109.47 109.47 109.47
Element x y z (fractional)
1 P 0.000 0.000 0.642
2 P 0.000 0.642 0.000
3 P 0.358 0.358 0.358
4 P 0.642 0.000 0.000
5 Pt 0.000 0.000 0.292
6 Pt 0.000 0.292 0.000
7 Pt 0.292 0.000 0.000
8 Pt 0.708 0.708 0.708



3.
NdHo9Er2: optimized geometry, PBE.

Computed properties:
The energy of formation comes out at 0.023 eV per atom. The calculation puts the energy above the lowest structure with this stoichiometry at 0.0 meV/atom.

abc: 4.998 4.998 14.993
angles: 90.00 90.00 90.00
Element x y z (fractional)
1 Nd 0.000 0.000 0.000
2 Ho 0.000 0.500 0.169
3 Ho 0.000 0.500 0.500
4 Ho 0.000 0.500 0.831
5 Ho 0.500 0.000 0.169
6 Ho 0.500 0.000 0.500
7 Ho 0.500 0.000 0.831
8 Ho 0.500 0.500 0.000
9 Ho 0.500 0.500 0.335
10 Ho 0.500 0.500 0.665
11 Er 0.000 0.000 0.335
12 Er 0.000 0.000 0.665



4.
YTcTe2: optimized geometry, PBE.

Computed properties:
For the uncorrected formation energy, the calculation gives -114.7 kJ/mol of formula units. The calculation puts the energy above the lowest structure with this stoichiometry at 153.8 meV/atom.

abc: 5.222 5.222 5.222
angles: 130.18 115.44 85.71
Element x y z (fractional)
1 Y 0.000 0.000 0.000
2 Tc 0.500 0.500 0.000
3 Te 0.289 0.789 0.500
4 Te 0.711 0.211 0.500